Record 1
VASP calculation (SCAN) on a PBEsol-optimized structure of Ho2Al3Si2.

Cell lengths 5.398, 5.398, 6.519 Å; angles 99.96, 99.96, 43.57 degrees
Fractional coordinates of all 7 atoms:
Ho  0.119  0.119  0.323
Ho  0.881  0.881  0.677
Al  0.195  0.195  0.867
Al  0.500  0.500  0.000
Al  0.805  0.805  0.133
Si  0.406  0.406  0.361
Si  0.594  0.594  0.639

Computed properties:
The energy relative to the elements, uncorrected is -0.57 eV per atom. The value obtained for the magnetization is 0.0 μB/f.u. Its space-group type is C2/m. As for the density of states at the Fermi level: 1.889 states/eV/f.u. The value obtained for the volume is 128.6 Å³/cell.

---

Record 2
VASP calculation (SCAN) on a PBEsol-optimized structure of YGeRh2.

Cell lengths 4.500, 4.500, 4.500 Å; angles 60.00, 60.00, 60.00 degrees
Fractional coordinates of all 4 atoms:
Y  0.000  0.000  0.000
Ge  0.500  0.500  0.500
Rh  0.250  0.250  0.250
Rh  0.750  0.750  0.750

Computed properties:
The value obtained for the magnetization is 0.8 μB/f.u. For the formation energy, the calculation gives -0.764 eV/atom. Its space-group type is Fm-3m. As for the density of states at the Fermi level: 1.994 states/eV/f.u. The value obtained for the volume is 64.4 Å³/cell.

---

Record 3
VASP calculation (SCAN) on a PBEsol-optimized structure of Cd5H18C8N20Cl4O2.

Cell lengths 9.080, 10.223, 13.973 Å; angles 90.00, 94.70, 90.00 degrees
Fractional coordinates of all 114 atoms:
Cd  0.000  0.000  0.000
Cd  0.000  0.500  0.500
Cd  0.189  0.173  0.511
Cd  0.189  0.327  0.011
Cd  0.482  0.544  0.878
Cd  0.482  0.956  0.378
Cd  0.518  0.044  0.622
Cd  0.518  0.456  0.122
Cd  0.811  0.673  0.989
Cd  0.811  0.827  0.489
H  0.006  0.534  0.130
H  0.006  0.966  0.630
H  0.164  0.051  0.329
H  0.164  0.449  0.829
H  0.195  0.702  0.628
H  0.195  0.798  0.128
H  0.254  0.697  0.747
H  0.254  0.803  0.247
H  0.328  0.524  0.444
H  0.328  0.976  0.944
H  0.349  0.160  0.768
H  0.349  0.340  0.268
H  0.447  0.631  0.397
H  0.447  0.869  0.897
H  0.475  0.207  0.463
H  0.475  0.293  0.963
H  0.486  0.737  0.714
H  0.486  0.763  0.214
H  0.514  0.237  0.786
H  0.514  0.263  0.286
H  0.525  0.707  0.037
H  0.525  0.793  0.537
H  0.553  0.131  0.103
H  0.553  0.369  0.603
H  0.651  0.660  0.732
H  0.651  0.840  0.232
H  0.672  0.024  0.056
H  0.672  0.476  0.556
H  0.746  0.197  0.753
H  0.746  0.303  0.253
H  0.805  0.202  0.872
H  0.805  0.298  0.372
H  0.836  0.551  0.171
H  0.836  0.949  0.671
H  0.994  0.034  0.370
H  0.994  0.466  0.870
C  0.137  0.613  0.907
C  0.137  0.887  0.407
C  0.254  0.709  0.433
C  0.254  0.791  0.933
C  0.278  0.528  0.675
C  0.278  0.972  0.175
C  0.354  0.167  0.200
C  0.354  0.333  0.700
C  0.646  0.667  0.300
C  0.646  0.833  0.800
C  0.722  0.028  0.825
C  0.722  0.472  0.325
C  0.746  0.209  0.067
C  0.746  0.291  0.567
C  0.863  0.113  0.593
C  0.863  0.387  0.093
N  0.045  0.693  0.945
N  0.045  0.807  0.445
N  0.107  0.017  0.384
N  0.107  0.483  0.884
N  0.120  0.691  0.463
N  0.120  0.809  0.963
N  0.210  0.045  0.106
N  0.210  0.455  0.606
N  0.263  0.170  0.121
N  0.263  0.330  0.621
N  0.267  0.662  0.680
N  0.267  0.838  0.180
N  0.271  0.668  0.896
N  0.271  0.832  0.396
N  0.365  0.619  0.442
N  0.365  0.881  0.942
N  0.368  0.044  0.238
N  0.368  0.456  0.738
N  0.424  0.220  0.737
N  0.424  0.280  0.237
N  0.576  0.720  0.763
N  0.576  0.780  0.263
N  0.632  0.544  0.262
N  0.632  0.956  0.762
N  0.635  0.119  0.058
N  0.635  0.381  0.558
N  0.729  0.168  0.604
N  0.729  0.332  0.104
N  0.733  0.162  0.820
N  0.733  0.338  0.320
N  0.737  0.670  0.379
N  0.737  0.830  0.879
N  0.790  0.545  0.394
N  0.790  0.955  0.894
N  0.880  0.191  0.037
N  0.880  0.309  0.537
N  0.893  0.517  0.116
N  0.893  0.983  0.616
N  0.955  0.193  0.555
N  0.955  0.307  0.055
Cl  0.150  0.145  0.877
Cl  0.150  0.355  0.377
Cl  0.246  0.531  0.134
Cl  0.246  0.969  0.634
Cl  0.754  0.031  0.366
Cl  0.754  0.469  0.866
Cl  0.850  0.645  0.623
Cl  0.850  0.855  0.123
O  0.423  0.126  0.477
O  0.423  0.374  0.977
O  0.577  0.626  0.023
O  0.577  0.874  0.523

Computed properties:
Its total energy is -1091.9 eV for the cell shown. The value obtained for the magnetization is 0.0 μB/f.u. Its space-group type is P2_1/c. As for the density of states at the Fermi level: 0.000 states/eV/f.u. The value obtained for the volume is 1292.6 Å³/cell.